{
  "formula": "LaY7Tm4",
  "functional": "GGA-PBE",
  "state": "optimized geometry",
  "cell": [[6.281, -2.856, 0.000], [6.281, 2.856, 0.000], [-1.762, 0.000, 10.837]],
  "species": ["La", "Y", "Y", "Y", "Y", "Y", "Y", "Y", "Tm", "Tm", "Tm", "Tm"],
  "frac_coords": [[0.000, 0.000, 0.000], [0.098, 0.098, 0.597], [0.245, 0.245, 0.891], [0.349, 0.349, 0.551], [0.500, 0.500, 0.000], [0.651, 0.651, 0.449], [0.755, 0.755, 0.109], [0.902, 0.902, 0.403], [0.135, 0.135, 0.274], [0.407, 0.407, 0.243], [0.593, 0.593, 0.757], [0.865, 0.865, 0.726]],
  "final_energy_ry_per_atom": -0.3975,
  "total_magnetization_mub_per_atom": 0.024,
  "delta_e_f_ev_per_atom": 0.2639,
  "vol_a3_per_atom": 32.40
}